The following is a PBE-GGA calculation of NdInCoSe3 after structural relaxation, from OQMD via LeMat-Bulk.

Structure (POSCAR):
```
NdInCoSe3
1.0
-1.9474 5.3448 4.8571
-5.4076 3.4903 3.8113
1.2944 -7.1355 8.3710
Se Co Nd In
6 2 2 2
direct
0.6337 0.6337 0.5844
0.3663 0.3663 0.4156
0.9267 0.9267 0.7500
0.3663 0.3663 0.0844
0.6337 0.6337 0.9156
0.0733 0.0733 0.2500
0.5249 0.5249 0.7500
0.4751 0.4751 0.2500
0.0000 0.0000 0.0000
0.0000 0.0000 0.5000
0.2458 0.2458 0.7500
0.7542 0.7542 0.2500
```

Summary:
electronic total energy = -60.02 eV for the cell shown
ρ = 5.69 g/cm³
space-group type = No. 63

---

The following is a PBE-GGA calculation of BaLaIn4Pd2 after structural relaxation, from OQMD via LeMat-Bulk.

Structure (POSCAR):
```
BaLaIn4Pd2
1.0
7.9901 0.0000 0.0000
0.0000 2.3240 5.4884
0.0000 -2.3240 5.4884
Pd In La Ba
2 4 1 1
direct
0.0000 0.2152 0.2152
0.5000 0.7851 0.7851
0.7971 0.6478 0.6478
0.6915 0.3517 0.3517
0.3085 0.3517 0.3517
0.2029 0.6478 0.6478
0.5000 0.0667 0.0667
0.0000 0.9340 0.9340
```

Summary:
electronic total energy = -32.93 eV for the cell shown
ρ = 7.73 g/cm³
space-group type = No. 38

---

The following is a PBE-GGA calculation of MgAuBr4 after structural relaxation, from OQMD via LeMat-Bulk.

Structure (POSCAR):
```
MgAuBr4
1.0
6.5643 0.0000 0.0000
0.0000 4.0458 0.0000
-0.4417 0.0000 6.5552
Br Mg Au
4 1 1
direct
0.6806 0.0000 0.7519
0.3194 0.0000 0.2481
0.8361 0.5000 0.2241
0.1639 0.5000 0.7759
0.0000 0.0000 0.0000
0.5000 0.5000 0.0000
```

Summary:
electronic total energy = -15.78 eV for the cell shown
ρ = 5.16 g/cm³
space-group type = No. 10

---

Question: What is the formula in the first record?
Answer: NdInCoSe3

---

Question: The lowest electronic total energy belongs to which entry?
Answer: NdInCoSe3